Density functional theory data (PBE+U) for a relaxed ErMnZnO4 crystal. Values from VASP.

The structure in Quantum ESPRESSO input format:
```
&SYSTEM
  ibrav = 0, nat = 14, ntyp = 4
/
ATOMIC_SPECIES
Er 167.26 Er.upf
Mn 54.94 Mn.upf
Zn 65.41 Zn.upf
O 16.00 O.upf
CELL_PARAMETERS angstrom
-0.914 -4.405 -4.406
4.868 -3.159 -2.351
0.437 -6.069 1.478
ATOMIC_POSITIONS crystal
Er 0.000 0.000 0.000
Er 0.000 0.500 0.500
Mn 0.500 0.000 0.500
Mn 0.000 0.000 0.500
Zn 0.617 0.633 0.133
Zn 0.383 0.367 0.867
O 0.744 0.774 0.738
O 0.256 0.762 0.726
O 0.744 0.238 0.274
O 0.256 0.226 0.262
O 0.215 0.774 0.274
O 0.737 0.774 0.274
O 0.263 0.226 0.726
O 0.785 0.226 0.726
```

Calculated values
Crystal system ... orthorhombic
Density of states at the Fermi level ... 0.89 states/eV/cell
Symmetry ... Imma
DFT total energy ... -96.69 eV per cell